First-principles (PBE) data for a geometry-optimized UTlS3Br structure, as listed in Alexandria.

Cell: 10.3507 10.3507 5.8293 Å, 99.44 99.44 138.77°
Atoms (fractional coordinates):
U1 0.1931 0.8069 0.7500
U2 0.8069 0.1931 0.2500
Tl1 0.4303 0.5697 0.7500
Tl2 0.5697 0.4303 0.2500
S1 0.0689 0.9311 0.7500
S2 0.1943 0.5886 0.4328
S3 0.4114 0.8057 0.0672
S4 0.5886 0.1943 0.9328
S5 0.8057 0.4114 0.5672
S6 0.9311 0.0689 0.2500
Br1 0.1469 0.8531 0.2500
Br2 0.8531 0.1469 0.7500

Results
ΔE_f (raw) in kJ/mol of formula units: -466
SG: C2/c (15)
Raw total energy in eV/atom: -5.42

=====

First-principles (PBE) data for a geometry-optimized Fe2NiRu structure, as listed in Alexandria.

Cell: 6.0559 6.0559 6.0559 Å, 129.21 129.21 74.68°
Atoms (fractional coordinates):
Fe1 0.1152 0.6250 0.9902
Fe2 0.3750 0.3652 0.4902
Fe3 0.6348 0.1250 0.0098
Fe4 0.8750 0.8848 0.5098
Ni1 0.0000 0.0000 0.0000
Ni2 0.7500 0.2500 0.5000
Ru1 0.2500 0.7500 0.5000
Ru2 0.5000 0.5000 0.0000

Results
DFT formation energy in eV per formula unit: 5.1
SG: I-42d (122)
Raw total energy in eV/atom: -6.72

=====

First-principles (PBE) data for a geometry-optimized Ac3CeSm2P6 structure, as listed in Alexandria.

Cell: 7.3872 7.3872 7.4243 Å, 99.55 99.55 119.99°
Atoms (fractional coordinates):
Ac1 0.0000 0.0000 0.0000
Ac2 0.3327 0.6673 0.0000
Ac3 0.6673 0.3327 0.0000
Ce1 0.5000 0.5000 0.5000
Sm1 0.1664 0.8336 0.5000
Sm2 0.8336 0.1664 0.5000
P1 0.0934 0.4233 0.2698
P2 0.2470 0.2470 0.7304
P3 0.4233 0.0934 0.2698
P4 0.5767 0.9066 0.7302
P5 0.7530 0.7530 0.2696
P6 0.9066 0.5767 0.7302

Results
DFT formation energy in eV per formula unit: -17.8
SG: C2/m (12)
Raw total energy in eV/atom: -6.50

=====

First-principles (PBE) data for a geometry-optimized PaTaTiRu structure, as listed in Alexandria.

Cell: 4.6964 4.6964 4.6964 Å, 60.00 60.00 60.00°
Atoms (fractional coordinates):
Pa1 0.0000 0.0000 0.0000
Ta1 0.2500 0.2500 0.2500
Ti1 0.5000 0.5000 0.5000
Ru1 0.7500 0.7500 0.7500

Results
DFT formation energy in eV per formula unit: -0.6
SG: F-43m (216)
Raw total energy in eV/atom: -9.78